## GeBr2O (GGA-PBEsol)

Data for a geometry-optimized GeBr2O structure.

Summary:
Space group: No. 225
ΔE_f (raw), eV per atom: 0.3818
V, Å³ per atom: 19.059
VASP energy, eV/atom: -3.1002
Spin magnetization, μB per formula unit: 2.002
N(E_F), states/eV/atom: 0.62

Structure (POSCAR):
```
GeBr2O
1.0
-2.3327 -4.1403 -0.2629
1.9251 -3.6718 -2.3377
1.5902 -3.7845 2.4087
Br O Ge
2 1 1
direct
0.7500 0.7500 0.7500 Br
0.2500 0.2500 0.2500 Br
0.0000 0.0000 0.0000 O
0.5000 0.5000 0.5000 Ge
```